This record from the Alexandria database describes a relaxed TbCe2HfN4 crystal. The functional is PBE.

a b c (Å): 5.9572 3.4193 6.0319
angles (deg): 90.00 109.00 90.00
Space group P2/m (No. 10)
Unique sites:
Tb1 0.0000 0.0000 0.0000
Ce1 0.0000 0.5000 0.5000
Ce2 0.5000 0.0000 0.5000
Hf1 0.5000 0.5000 0.0000
N1 0.2636 0.5000 0.2335
N2 0.2741 0.0000 0.7757

formation energy without anion corrections	-1623	meV/atom
V	116	Å³/f.u.
M_tot	0.0007	μB per atom
final energy	-72.7	eV/f.u.